1.
# GGA-PBE BaLaN3, optimized geometry
# Total moment (μB per atom): 0.00
# Electronic total energy (eV/cell): -30.4
data_BaLaN3
_space_group_name_H-M_alt 'P m -3 m'
_space_group_IT_number 221
_space_group_name_Hall '-P 4 2 3'
_cell_length_a 4.498
_cell_length_b 4.498
_cell_length_c 4.498
_cell_angle_alpha 90.00
_cell_angle_beta 90.00
_cell_angle_gamma 90.00
loop_
_atom_site_label
_atom_site_type_symbol
_atom_site_fract_x
_atom_site_fract_y
_atom_site_fract_z
Ba1 Ba 0.000 0.000 0.000
La1 La 0.500 0.500 0.500
N1 N 0.000 0.500 0.500

2.
# GGA-PBE BaNaLa2N, optimized geometry
# Total moment (μB per atom): 0.06
# Electronic total energy (eV/cell): -23.1
data_BaNaLa2N
_space_group_name_H-M_alt 'P 4/m m m'
_space_group_IT_number 123
_space_group_name_Hall '-P 4 2'
_cell_length_a 5.089
_cell_length_b 5.089
_cell_length_c 6.276
_cell_angle_alpha 90.00
_cell_angle_beta 90.00
_cell_angle_gamma 90.00
loop_
_atom_site_label
_atom_site_type_symbol
_atom_site_fract_x
_atom_site_fract_y
_atom_site_fract_z
Ba1 Ba 0.000 0.000 0.000
Na1 Na 0.500 0.500 0.000
La1 La 0.000 0.500 0.500
N1 N 0.000 0.000 0.500

3.
# GGA-PBE BaLa2NbN4, optimized geometry
# Total moment (μB per atom): 0.00
# Electronic total energy (eV/cell): -255.9
data_BaLa2NbN4
_space_group_name_H-M_alt 'C m c m'
_space_group_IT_number 63
_space_group_name_Hall '-C 2c 2'
_cell_length_a 3.642
_cell_length_b 13.077
_cell_length_c 12.782
_cell_angle_alpha 90.00
_cell_angle_beta 90.00
_cell_angle_gamma 90.00
loop_
_atom_site_label
_atom_site_type_symbol
_atom_site_fract_x
_atom_site_fract_y
_atom_site_fract_z
Ba1 Ba 0.000 0.089 0.250
La1 La 0.000 0.371 0.035
Nb1 Nb 0.000 0.175 0.750
N1 N 0.000 0.000 0.000
N2 N 0.000 0.259 0.626
N3 N 0.000 0.404 0.250

These records have calculated volume values of 91.0; 162.6; 608.7 Å³ per cell, in the order they appear.